The following is a DFT calculation (PBE with a Hubbard U) of a relaxed structure of SrAgMoO4.

## Properties
raw total energy: -6.113 eV per atom
V: 284.43 Å³ per cell
symmetry: No. 11
mass density: 4.2 Mg/m³

The structure in POSCAR format:
```
SrAgMoO4
1.0
6.7253 0.0000 0.0000
0.0000 5.5351 0.0000
-1.5527 0.0000 7.6407
Sr Ag Mo O
2 2 2 8
direct
0.1851 0.2500 0.3894
0.8149 0.7500 0.6106
0.0545 0.2500 0.9487
0.9455 0.7500 0.0513
0.3302 0.7500 0.6675
0.6698 0.2500 0.3325
0.1608 0.0040 0.6676
0.1608 0.4960 0.6676
0.4017 0.7500 0.4573
0.4353 0.2500 0.1776
0.5647 0.7500 0.8224
0.5983 0.2500 0.5427
0.8392 0.5040 0.3324
0.8392 0.9960 0.3324
```